[1]
# GGA-PBE TmBiIO6, optimized geometry
# D(E_F): 0.453 states/eV/atom
# formation energy from raw total energies: -1.42 eV/atom
data_TmBiIO6
_cell_length_a 5.6209
_cell_length_b 5.6209
_cell_length_c 9.8079
_cell_angle_alpha 90.00
_cell_angle_beta 90.00
_cell_angle_gamma 120.00
_space_group_name_H-M_alt 'P -3 1 c'
_space_group_IT_number 163
_space_group_name_Hall '-P 3 2c'
loop_
_atom_site_label
_atom_site_type_symbol
_atom_site_fract_x
_atom_site_fract_y
_atom_site_fract_z
Tm1 Tm 0.3333 0.6667 0.2500
Bi1 Bi 0.0000 0.0000 0.0000
I1 I 0.3333 0.6667 0.7500
O1 O 0.0295 0.3697 0.6365



[2]
# GGA-PBE UBiIO6, optimized geometry
# D(E_F): 0.446 states/eV/atom
# formation energy from raw total energies: -1.44 eV/atom
data_UBiIO6
_cell_length_a 5.9794
_cell_length_b 5.9794
_cell_length_c 9.3535
_cell_angle_alpha 90.00
_cell_angle_beta 90.00
_cell_angle_gamma 120.00
_space_group_name_H-M_alt 'P -3 1 c'
_space_group_IT_number 163
_space_group_name_Hall '-P 3 2c'
loop_
_atom_site_label
_atom_site_type_symbol
_atom_site_fract_x
_atom_site_fract_y
_atom_site_fract_z
U1 U 0.3333 0.6667 0.2500
Bi1 Bi 0.0000 0.0000 0.0000
I1 I 0.3333 0.6667 0.7500
O1 O 0.0336 0.3548 0.1371